Record 1
This record from Alexandria via LeMat-Bulk describes a geometry-optimized ZnNiF2 structure. The functional is PBE+U.

Summary:
The calculation puts the density of states at the Fermi level at 8.98 states/eV/cell.

abc: 3.991 3.991 3.991
angles: 60.00 60.00 60.00
Each line ends with the local moment (μB).
Fractional coordinates of all 4 atoms:
F1 0.750 0.750 0.750  0.02
Ni1 0.000 0.000 0.000  0.85
F2 0.250 0.250 0.250  0.02
Zn1 0.500 0.500 0.500  -0.03

=====

Record 2
This record from Alexandria via LeMat-Bulk describes a geometry-optimized Zn3NiF structure. The functional is PBE+U.

Summary:
The calculation puts the density of states at the Fermi level at 1.07 states/eV/cell.

abc: 4.188 4.188 4.188
angles: 90.00 90.00 90.00
Fractional coordinates of all 5 atoms:
Zn1 0.500 0.000 0.000
Zn2 0.000 0.000 0.500
Zn3 0.000 0.500 0.000
F1 0.000 0.000 0.000
Ni1 0.500 0.500 0.500

=====

Record 3
This record from Alexandria via LeMat-Bulk describes a geometry-optimized ZnNiF5 structure. The functional is PBE+U.

abc: 9.644 5.068 7.447
angles: 69.95 90.00 90.00
Each line ends with the local moment (μB).
Fractional coordinates of all 28 atoms:
Ni1 0.743 0.107 0.122  2.29
F1 0.822 0.152 0.360  0.12
Ni2 0.257 0.893 0.878  2.29
Zn1 0.015 0.531 0.760  0.03
F2 0.903 0.873 0.734  0.14
F3 0.597 0.873 0.234  0.14
F4 0.403 0.127 0.766  0.14
F5 0.678 0.152 0.860  0.12
F6 0.322 0.848 0.140  0.12
F7 0.178 0.848 0.640  0.12
F8 0.390 0.645 0.490  0.12
Ni3 0.243 0.893 0.378  2.29
F9 0.881 0.415 0.593  0.12
F10 0.097 0.127 0.266  0.14
F11 0.119 0.585 0.407  0.12
Zn2 0.985 0.469 0.240  0.03
Zn3 0.515 0.469 0.740  0.03
F12 0.358 0.205 0.343  0.12
F13 0.381 0.585 0.907  0.12
Ni4 0.757 0.107 0.622  2.29
Zn4 0.485 0.531 0.260  0.03
F14 0.142 0.205 0.843  0.12
F15 0.642 0.795 0.657  0.12
F16 0.619 0.415 0.093  0.12
F17 0.110 0.645 0.990  0.12
F18 0.610 0.355 0.510  0.12
F19 0.858 0.795 0.157  0.12
F20 0.890 0.355 0.010  0.12

=====

Record 4
This record from Alexandria via LeMat-Bulk describes a geometry-optimized ZnNiF5 structure. The functional is PBE+U.

abc: 5.243 5.243 7.483
angles: 68.73 68.73 71.20
Each line ends with the local moment (μB).
Fractional coordinates of all 14 atoms:
F1 0.282 0.203 0.364  0.13
F2 0.797 0.718 0.136  0.13
F3 0.673 0.273 0.959  0.13
F4 0.273 0.673 0.459  0.13
F5 0.884 0.116 0.250  0.12
F6 0.718 0.797 0.636  0.13
Zn1 0.466 0.534 0.750  0.04
Zn2 0.534 0.466 0.250  0.04
Ni1 0.000 0.000 0.000  2.30
F7 0.327 0.727 0.041  0.13
F8 0.203 0.282 0.864  0.13
F9 0.116 0.884 0.750  0.12
Ni2 0.000 0.000 0.500  2.30
F10 0.727 0.327 0.541  0.13

=====

Record 5
This record from Alexandria via LeMat-Bulk describes a geometry-optimized ZnNiF4 structure. The functional is PBE+U.

Summary:
The calculation puts the density of states at the Fermi level at 0.00 states/eV/cell.

abc: 4.984 4.999 6.538
angles: 111.60 111.53 92.13
Each line ends with the local moment (μB).
Fractional coordinates of all 12 atoms:
F1 0.106 0.305 0.595  0.05
F2 0.702 0.512 0.902  0.03
F3 0.511 0.210 0.405  0.05
F4 0.894 0.695 0.405  0.05
Ni1 0.831 0.581 0.663  1.84
Zn1 0.589 0.839 0.178  0.02
F5 0.800 0.110 0.098  0.03
Ni2 0.169 0.419 0.337  1.84
F6 0.298 0.488 0.098  0.03
F7 0.489 0.790 0.595  0.05
Zn2 0.411 0.161 0.822  0.02
F8 0.200 0.890 0.902  0.03

=====

Record 6
This record from Alexandria via LeMat-Bulk describes a geometry-optimized ZnNi2F structure. The functional is PBE+U.

Summary:
The calculation puts the density of states at the Fermi level at 1.30 states/eV/cell.

abc: 3.572 3.572 8.856
angles: 78.36 78.36 90.00
Each line ends with the local moment (μB).
Fractional coordinates of all 8 atoms:
Ni1 0.133 0.625 0.250  1.02
F1 0.500 0.500 0.000  0.02
Ni2 0.375 0.383 0.750  0.98
Zn1 0.000 0.000 0.000  -0.01
Zn2 0.750 0.250 0.500  -0.01
F2 0.250 0.750 0.500  0.02
Ni3 0.875 0.867 0.750  0.98
Ni4 0.617 0.125 0.250  1.02

=====

Record 7
This record from Alexandria via LeMat-Bulk describes a geometry-optimized ZnNi3F structure. The functional is PBE+U.

Summary:
The calculation puts the density of states at the Fermi level at 2.24 states/eV/cell.

abc: 4.527 4.527 4.527
angles: 90.00 90.00 90.00
Each line ends with the local moment (μB).
Fractional coordinates of all 5 atoms:
Zn1 0.000 0.000 0.000  -0.02
Ni1 0.000 0.500 0.000  1.06
Ni2 0.000 0.000 0.500  1.00
Ni3 0.500 0.000 0.000  1.08
F1 0.500 0.500 0.500  0.06

=====

Record 8
This record from Alexandria via LeMat-Bulk describes a geometry-optimized ZnNiF4 structure. The functional is PBE+U.

Summary:
The calculation puts the density of states at the Fermi level at 0.00 states/eV/cell.

abc: 5.001 5.558 6.281
angles: 106.15 120.75 90.46
Each line ends with the local moment (μB).
Fractional coordinates of all 12 atoms:
F1 0.896 0.286 0.182  0.04
Zn1 0.766 0.820 0.523  0.00
Ni1 0.000 0.500 0.000  1.82
F2 0.101 0.171 0.771  0.04
F3 0.505 0.941 0.684  0.02
F4 0.104 0.714 0.818  0.04
Zn2 0.234 0.180 0.477  0.00
F5 0.558 0.470 0.744  0.01
F6 0.495 0.059 0.316  0.02
F7 0.442 0.530 0.256  0.01
Ni2 0.500 0.000 0.000  1.84
F8 0.899 0.829 0.229  0.04

=====

Record 9
This record from Alexandria via LeMat-Bulk describes a geometry-optimized ZnNiF2 structure. The functional is PBE+U.

Summary:
The calculation puts the density of states at the Fermi level at 0.60 states/eV/cell.

abc: 5.836 5.836 5.104
angles: 55.13 55.13 90.00
Each line ends with the local moment (μB).
Fractional coordinates of all 8 atoms:
F1 0.375 0.384 0.750  -0.01
F2 0.875 0.866 0.750  -0.01
Ni1 0.500 0.500 0.000  -1.01
F3 0.616 0.125 0.250  0.00
Zn1 0.750 0.250 0.500  0.01
Ni2 0.250 0.750 0.500  -1.01
F4 0.134 0.625 0.250  -0.01
Zn2 0.000 0.000 0.000  0.01

=====

Record 10
This record from Alexandria via LeMat-Bulk describes a geometry-optimized Zn3NiF structure. The functional is PBE+U.

Summary:
The calculation puts the density of states at the Fermi level at 1.24 states/eV/cell.

abc: 4.532 4.532 4.532
angles: 90.00 90.00 90.00
Fractional coordinates of all 5 atoms:
F1 0.500 0.500 0.500
Zn1 0.000 0.500 0.000
Ni1 0.000 0.000 0.000
Zn2 0.000 0.000 0.500
Zn3 0.500 0.000 0.000

=====

Record 11
This record from Alexandria via LeMat-Bulk describes a geometry-optimized ZnNiF2 structure. The functional is PBE+U.

Summary:
The calculation puts the density of states at the Fermi level at 1.13 states/eV/cell.

abc: 7.608 7.608 7.608
angles: 23.11 23.11 23.11
Each line ends with the local moment (μB).
Fractional coordinates of all 4 atoms:
Ni1 0.000 0.000 0.000  1.01
Zn1 0.500 0.500 0.500  0.00
F1 0.119 0.119 0.119  0.00
F2 0.881 0.881 0.881  0.00

=====

Record 12
This record from Alexandria via LeMat-Bulk describes a geometry-optimized ZnNiF2 structure. The functional is PBE+U.

Summary:
The calculation puts the density of states at the Fermi level at 2.06 states/eV/cell.

abc: 8.277 8.277 8.277
angles: 20.88 20.88 20.88
Each line ends with the local moment (μB).
Fractional coordinates of all 4 atoms:
Ni1 0.500 0.500 0.500  1.78
Zn1 0.000 0.000 0.000  -0.01
F1 0.123 0.123 0.123  0.08
F2 0.877 0.877 0.877  0.08

=====

| no. | energy above the most stable polymorph in this dataset (eV per atom) | spin magnetization (μB/f.u.) |
| --- | --- | --- |
| 1 | 0.866 | 0.80 |
| 2 | 0.153 | 0.00 |
| 3 | 0.006 | 2.97 |
| 4 | 0.000 | 3.00 |
| 5 | 0.000 | 2.05 |
| 6 | 0.000 | 2.01 |
| 7 | 0.623 | 3.38 |
| 8 | 0.027 | 1.97 |
| 9 | 0.351 | 1.00 |
| 10 | 0.000 | 0.00 |
| 11 | 0.240 | 1.08 |
| 12 | 0.000 | 1.94 |